A plane-wave DFT calculation with PBE+U was carried out for a relaxed structure of CsMnFeF6.

The calculation puts the polymorph energy (0 for the lowest one) at 238 meV/atom. The calculation puts the raw total energy at -0.3853 Ry per atom.

The structure belongs to space group P1 (No. 1); the cell edges are 5.453, 5.478 and 6.481 Å and the angles 89.97°, 89.88° and 60.30°. The inequivalent atoms are Cs at (0.000, 0.000, 0.000), Mn at (0.667, 0.668, 0.500), Fe at (0.334, 0.334, 0.500), F at (0.390, 0.634, 0.665), F at (0.394, 0.981, 0.331), F at (0.629, 0.979, 0.666), F at (0.633, 0.399, 0.330), F at (0.974, 0.396, 0.670) and F at (0.981, 0.635, 0.336).